LiFe4O5 after structural relaxation. Source: the Alexandria database, functional PBE+U.

Computed properties:
total magnetization = 17.01 μB per formula unit
Fermi-level density of states = 0.18 states/eV per atom
E_tot = -6.369 eV/atom

Cell: 3.0953 4.1692 15.8964 Å, 90.00 90.00 90.00°
Last column: nearest neighbours and their distance in Å.
Space group Immm (No. 71)
One atom of each set of equivalent atoms:
1 Li 0.0000 0.0000 0.0000  2 O 2.08
2 Fe 0.0000 0.0000 0.1993  6 O 2.09-2.16
3 Fe 0.0000 0.0000 0.4077  4 O 2.10-2.13
4 O 0.0000 0.5000 0.0000  2 Li 2.08, 4 Fe 2.13
5 O 0.0000 0.5000 0.2057  4 Fe 2.09-2.16
6 O 0.0000 0.5000 0.3897  4 Fe 2.10, 2 Li 2.34